A relaxed structure of Li4PmTl, computed with PBE-GGA.

## Properties
**Formation energy**: -0.662 eV per formula unit
**Magnetic moment**: 0.000 μB/atom

Structure (CIF):
```
data_Li4PmTl
_cell_length_a 7.8998
_cell_length_b 7.8998
_cell_length_c 7.8998
_cell_angle_alpha 90.00
_cell_angle_beta 90.00
_cell_angle_gamma 90.00
_space_group_name_H-M_alt 'F -4 3 m'
_space_group_IT_number 216
_space_group_name_Hall 'F -4 2 3'
loop_
_atom_site_label
_atom_site_type_symbol
_atom_site_fract_x
_atom_site_fract_y
_atom_site_fract_z
Li1 Li 0.1239 0.1239 0.3761
Pm1 Pm 0.0000 0.0000 0.0000
Tl1 Tl 0.2500 0.2500 0.7500
```